Record 1
Na2AcBiO6 | PBE | optimized geometry

Cell and atoms, written as extended XYZ:
```
10
Lattice="-3.2455 -0.3530 -5.0237 -2.2722 -5.2656 -1.7342 -6.1919 -0.8984 0.4898" Properties=species:S:1:pos:R:3 pbc="T T T"
Ac -7.9662 -5.0705 -5.2152
O -4.4082 -5.3867 -2.5820
Bi -2.0629 -1.8227 -2.1119
O -3.8911 -1.5067 -3.1392
O -6.2038 -2.9571 -0.9896
O -7.3050 -1.6127 -3.2131
O -6.0007 -3.6124 -5.7374
Na -5.8266 -0.9803 0.2591
O -7.7204 -4.3853 -2.8901
Na -5.3903 -3.3627 -3.4267
```

Calculated total energy = -5.501 eV per atom
Density = 5.9 g cm⁻³
Energy relative to the elements, uncorrected = -1464 meV/atom

***

Record 2
NaAc2BiO5 | PBE | optimized geometry

Cell and atoms, written as extended XYZ:
```
18
Lattice="3.8618 0.0000 0.0000 -1.9309 7.2366 0.0000 0.0000 0.0000 11.6699" Properties=species:S:1:pos:R:3 pbc="T T T"
O 1.9309 2.8111 9.5812
O 1.9309 0.4449 3.5353
Na 1.9309 3.9099 5.6955
Bi 1.9309 0.3518 11.4734
Bi 0.0000 6.8847 5.6385
O 1.9309 3.0714 1.6975
O 0.0000 0.5479 0.9716
Ac 1.9309 5.4254 2.3040
O 0.0000 4.4255 3.7462
Na 0.0000 3.3267 11.5304
O 1.9309 1.6871 6.4024
O 1.9309 6.6886 6.8065
O 0.0000 5.5494 0.5674
Ac 1.9309 5.1562 8.7995
O 0.0000 4.1652 7.5325
O 0.0000 6.7917 9.3702
Ac 0.0000 2.0804 2.9645
Ac 0.0000 1.8112 8.1390
```

Calculated total energy = -6.610 eV per atom
Density = 7.8 g cm⁻³
Energy relative to the elements, uncorrected = -2364 meV/atom

***

Record 3
Na2Ac4Bi3O2 | PBE | optimized geometry

Cell and atoms, written as extended XYZ:
```
11
Lattice="-1.4054 5.0030 0.2679 -3.6851 -0.8438 -3.5755 -6.1949 -5.0548 11.3640" Properties=species:S:1:pos:R:3 pbc="T T T"
Ac -8.9919 -2.8555 6.1551
Bi -8.2107 0.1511 4.6404
O -7.0710 -2.4070 7.8557
Na -6.0978 0.8703 2.2930
Ac -7.8521 0.0678 8.0768
Bi 0.0000 0.0000 0.0000
Ac -3.4334 -0.9634 -0.0204
Ac -2.2935 1.9600 1.9013
O -4.2145 1.5114 0.2006
Na -5.1876 -1.7659 5.7634
Bi -3.0747 -1.0466 3.4160
```

Calculated total energy = -5.055 eV per atom
Density = 7.4 g cm⁻³
Energy relative to the elements, uncorrected = -1361 meV/atom

***

Record 4
NaAcBi4O8 | PBE | optimized geometry

Cell and atoms, written as extended XYZ:
```
14
Lattice="-2.4799 1.5008 6.4975 -3.4212 -4.9910 3.7423 3.1507 -2.9052 5.7689" Properties=species:S:1:pos:R:3 pbc="T T T"
O -0.5080 -2.1356 10.2136
O -1.7893 -0.9070 7.3172
Bi -0.1193 -3.9323 4.7581
Bi 0.3467 -0.7182 6.1221
O 0.8440 -2.9537 6.6714
O -1.0211 -5.6746 8.7116
Bi -3.2568 -2.5573 7.1383
O -2.2574 -4.1356 5.9469
O -2.2214 -4.7425 11.9335
Bi 1.5745 -1.4613 2.9052
O -3.4908 -3.3892 9.1784
Ac 0.4782 -3.8284 8.8574
O -0.5480 -1.6463 4.0664
Na 3.1433 -2.9026 5.7655
```

Calculated total energy = -5.896 eV per atom
Density = 7.8 g cm⁻³
Energy relative to the elements, uncorrected = -1567 meV/atom

***

Record 5
Na2AcBi2Pb | PBE | optimized geometry

Cell and atoms, written as extended XYZ:
```
12
Lattice="-0.4487 -3.3838 3.2324 -1.3040 -5.7987 -6.2513 10.1726 -1.7898 -0.4616" Properties=species:S:1:pos:R:3 pbc="T T T"
Ac 5.3796 -3.6075 -3.0297
Ac 2.9899 -6.2011 -6.0765
Pb 1.7859 -5.8195 -2.4256
Bi 3.5857 -3.8145 -0.0770
Na 0.4046 -2.2406 1.1292
Bi 4.8580 -7.0524 -3.2899
Bi 8.6301 -3.2942 -2.2506
Na 7.1054 -6.4946 -5.8125
Na 1.4503 -2.4856 -2.4007
Bi 0.1223 -4.8114 -5.0197
Na 8.4779 -6.6751 -2.3925
Pb 6.9574 -3.7153 0.4949
```

Calculated total energy = -3.462 eV per atom
Formation enthalpy at 0 K = -0.43 eV per atom
Density = 7.1 g cm⁻³

***

Record 6
NaAcBiPb | PBE | optimized geometry

Cell and atoms, written as extended XYZ:
```
4
Lattice="5.7420 0.0000 0.0000 2.8710 4.9727 0.0000 2.8710 1.6576 4.6883" Properties=species:S:1:pos:R:3 pbc="T T T"
Bi 8.6130 4.9727 3.5163
Pb 2.8710 1.6576 1.1721
Ac 5.7420 3.3152 2.3442
Na 0.0000 0.0000 0.0000
```

Calculated total energy = -3.638 eV per atom
Formation enthalpy at 0 K = -0.38 eV per atom
Density = 8.3 g cm⁻³

***

Record 7
NaAc2Bi2Pd7 | PBE | optimized geometry

Cell and atoms, written as extended XYZ:
```
12
Lattice="4.6578 0.1878 -0.0351 0.1934 4.6576 -0.0351 2.2534 2.2507 12.9227" Properties=species:S:1:pos:R:3 pbc="T T T"
Pd 4.7458 2.5444 1.5790
Pd 4.2726 4.2674 7.2690
Ac 4.9776 4.9715 4.3621
Pd 2.8320 2.8286 5.5836
Bi 2.4253 2.4223 2.9354
Bi 4.6794 4.6737 9.9171
Pd 2.3588 4.5517 11.2736
Pd 4.5545 2.3533 11.2736
Ac 2.1271 2.1245 8.4904
Pd 2.4256 2.4227 -0.0351
Pd 2.5501 4.7427 1.5790
Na 0.0000 0.0000 0.0000
```

Calculated total energy = -4.886 eV per atom
Formation enthalpy at 0 K = -0.42 eV per atom
Density = 9.7 g cm⁻³

***

Record 8
NaAc2Bi4Pd3 | PBE | optimized geometry

Cell and atoms, written as extended XYZ:
```
10
Lattice="4.7054 0.0000 0.0000 0.0000 4.7054 0.0000 0.0000 0.0000 12.3051" Properties=species:S:1:pos:R:3 pbc="T T T"
Bi 0.0000 2.3527 4.4097
Bi 0.0000 0.0000 0.0000
Bi 2.3527 2.3527 0.0000
Ac 0.0000 2.3527 9.2380
Pd 0.0000 2.3527 1.6746
Pd 0.0000 0.0000 6.1525
Ac 2.3527 0.0000 3.0671
Na 2.3527 2.3527 6.1525
Pd 2.3527 0.0000 10.6304
Bi 2.3527 0.0000 7.8954
```

Calculated total energy = -4.668 eV per atom
Formation enthalpy at 0 K = -0.60 eV per atom
Density = 9.9 g cm⁻³